# 1
ScRu2Pb (PBE, optimized geometry); ΔH_f (0 K) = -0.05 eV/atom; N(E_F) = 2.57 states/eV/f.u.
1.0
5.060 -1.599 0.000
5.060 1.599 0.000
-1.655 0.000 4.359
Sc Ru Pb
1 2 1
direct
0.000 0.000 0.000 Sc
0.482 0.482 0.507 Ru
0.754 0.754 0.143 Ru
0.227 0.227 0.633 Pb

***

# 2
TaTePb2 (PBE, optimized geometry); formation energy from raw total energies = 296 meV per atom; N(E_F) = 2.01 states/eV/f.u.
1.0
5.800 -1.717 0.000
5.800 1.717 0.000
-2.120 0.000 5.537
Ta Te Pb
1 1 2
direct
0.000 0.000 0.000 Ta
0.357 0.357 0.651 Te
0.569 0.569 0.456 Pb
0.734 0.734 0.042 Pb

***

# 3
YScInCo (PBE, optimized geometry); ΔH_f (0 K) = -0.22 eV/atom; N(E_F) = 2.77 states/eV/f.u.
1.0
0.000 3.496 3.496
3.496 0.000 3.496
3.496 3.496 0.000
Y Sc In Co
1 1 1 1
direct
0.000 0.000 0.000 Y
0.500 0.500 0.500 Sc
0.250 0.250 0.250 In
0.750 0.750 0.750 Co

***

# 4
MnZnTe2Cl (PBE, optimized geometry); formation energy from raw total energies = 142 meV per atom; N(E_F) = 2.51 states/eV/f.u.
1.0
4.875 0.000 0.000
0.000 4.875 0.000
0.000 0.000 4.976
Mn Zn Te Cl
1 1 2 1
direct
0.000 0.000 0.000 Mn
0.000 0.000 0.500 Zn
0.000 0.500 0.000 Te
0.500 0.000 0.000 Te
0.500 0.500 0.500 Cl

***

# 5
TmScTl2 (PBE, optimized geometry); ΔH_f (0 K) = -0.27 eV/atom; N(E_F) = 2.95 states/eV/f.u.
1.0
3.673 0.000 0.000
0.000 3.673 0.000
0.000 0.000 7.379
Tm Sc Tl
1 1 2
direct
0.000 0.000 0.000 Tm
0.000 0.000 0.500 Sc
0.500 0.500 0.261 Tl
0.500 0.500 0.739 Tl

***

# 6
AlVS3 (PBE, optimized geometry); distance to the lowest polymorph of the same formula = 0 meV/atom; formation energy from raw total energies = -891 meV per atom; N(E_F) = 3.71 states/eV/f.u.
1.0
1.713 -9.215 0.000
1.713 9.215 0.000
0.000 0.000 6.228
Al V S
2 2 6
direct
0.152 0.848 0.500 Al
0.848 0.152 0.000 Al
0.328 0.672 0.508 V
0.672 0.328 0.008 V
0.100 0.900 0.166 S
0.255 0.745 0.848 S
0.400 0.600 0.186 S
0.600 0.400 0.686 S
0.745 0.255 0.348 S
0.900 0.100 0.666 S

***

The calculation returns the following total magnetic moment values, one per record and in order: 0.00 0.00 1.09 0.05 0.00 2.00 μB/f.u..